The following is a meta-GGA SCAN calculation of RbMgW3 at its PBEsol-relaxed geometry, from the Alexandria database.

Unit cell a=4.6946 b=4.6946 c=4.6946 alpha=90.00 beta=90.00 gamma=90.00
Fractional coordinates of all 5 atoms:
Rb1 0.0000 0.0000 0.0000
Mg1 0.5000 0.5000 0.5000
W1 0.0000 0.0000 0.5000
W2 0.0000 0.5000 0.0000
W3 0.5000 0.0000 0.0000

Summary:
Energy of formation from the pure elements = 3.98 eV/atom
Spin magnetization = 0.000 μB per cell